Below is a geometry-optimized LiHfCuTe3 structure, with properties calculated at the PBE level.

Unit cell a=12.544 b=4.006 c=11.835 alpha=90.00 beta=90.00 gamma=90.00
Space group Pnma (No. 62)
Symmetry-distinct sites (fractional):
1 Li 0.223 0.250 0.053
2 Hf 0.070 0.250 0.323
3 Cu 0.250 0.250 0.724
4 Te 0.060 0.750 0.145
5 Te 0.084 0.250 0.584
6 Te 0.211 0.750 0.856

Computed properties:
* energy relative to the lowest polymorph listed for this composition: 80 meV/atom
* M_tot: 0.01 μB per cell